A plane-wave DFT calculation with PBE was carried out for an optimized crystal structure of GdTmIn5.

abc: 4.6696 4.6696 8.5315
angles: 90.00 90.00 90.00
Element x y z (fractional)
Tm (0.0000, 0.0000, 0.5000)
Gd (0.0000, 0.0000, 0.0000)
In (0.0000, 0.5000, 0.2673)
In (0.5000, 0.5000, 0.0000)
In (0.0000, 0.5000, 0.7327)
In (0.5000, 0.0000, 0.7327)
In (0.5000, 0.0000, 0.2673)

A plane-wave DFT calculation with PBE was carried out for an optimized crystal structure of GdTm2ZnIn2.

abc: 5.2066 5.2066 6.3974
angles: 90.00 90.00 120.00
Element x y z (fractional)
In (0.3333, 0.6667, 0.1722)
In (0.6667, 0.3333, 0.8278)
Zn (0.0000, 0.0000, 0.5000)
Gd (0.0000, 0.0000, 0.0000)
Tm (0.6667, 0.3333, 0.3447)
Tm (0.3333, 0.6667, 0.6553)

A plane-wave DFT calculation with PBE was carried out for an optimized crystal structure of GdUIn.

abc: 5.1938 5.1938 5.1938
angles: 60.00 60.00 60.00
Element x y z (fractional)
Gd (0.2500, 0.2500, 0.2500)
U (0.7500, 0.7500, 0.7500)
In (0.0000, 0.0000, 0.0000)

A plane-wave DFT calculation with PBE was carried out for an optimized crystal structure of GdInW.

abc: 4.7761 4.7761 4.7761
angles: 60.00 60.00 60.00
Element x y z (fractional)
W (0.7500, 0.7500, 0.7500)
Gd (0.2500, 0.2500, 0.2500)
In (0.0000, 0.0000, 0.0000)

A plane-wave DFT calculation with PBE was carried out for an optimized crystal structure of GdYIn2.

abc: 4.3246 6.2001 6.2001
angles: 43.20 90.00 90.00
Element x y z (fractional)
In (0.0000, 0.0859, 0.0859)
In (0.5000, 0.9146, 0.9146)
Y (0.5000, 0.6387, 0.6387)
Gd (0.0000, 0.3607, 0.3607)

A plane-wave DFT calculation with PBE was carried out for an optimized crystal structure of GdYIn5.

abc: 4.6544 4.6544 8.6483
angles: 90.00 90.00 90.00
Element x y z (fractional)
In (0.0000, 0.5000, 0.7389)
In (0.5000, 0.0000, 0.7389)
In (0.0000, 0.5000, 0.2611)
In (0.5000, 0.0000, 0.2611)
In (0.5000, 0.5000, 0.0000)
Y (0.0000, 0.0000, 0.0000)
Gd (0.0000, 0.0000, 0.5000)

A plane-wave DFT calculation with PBE was carried out for an optimized crystal structure of GdYIn.

abc: 5.2021 5.2021 5.2021
angles: 60.00 60.00 60.00
Element x y z (fractional)
Gd (0.5000, 0.5000, 0.5000)
In (0.2500, 0.2500, 0.2500)
Y (0.0000, 0.0000, 0.0000)

A plane-wave DFT calculation with PBE was carried out for an optimized crystal structure of Gd2YIn.

abc: 4.8540 4.8540 4.8944
angles: 90.00 90.00 90.00
Element x y z (fractional)
Gd (0.0000, 0.5000, 0.5000)
Gd (0.5000, 0.0000, 0.5000)
In (0.0000, 0.0000, 0.0000)
Y (0.5000, 0.5000, 0.0000)

no.,raw total energy (eV per atom)
1,-3.567
2,-3.801
3,-5.593
4,-5.854
5,-4.604
6,-3.869
7,-4.739
8,-4.904